Record 1
Density functional theory data (PBE-GGA) for a geometry-optimized MnAs2Br structure.

Output
The value obtained for the uncorrected formation energy is -185 meV/atom. As for the symmetry: Pm. The value obtained for the energy above the most stable polymorph in this dataset is 0 meV per atom. The crystal system is monoclinic.

abc: 3.5757 4.5371 7.4902
angles: 100.51 90.00 90.00
Last column: nearest neighbours and their distance in Å.
Element x y z (fractional)
As (0.0000, 0.9666, 0.1055)  2 As 2.45
Br (0.0000, 0.5959, 0.5877)  2 Mn 2.51
Mn (0.5000, 0.7021, 0.8268)  2 As 2.48-2.59, 2 Br 2.51
As (0.5000, 0.2354, 0.9800)  2 As 2.45, 2 Mn 2.48-2.59

Record 2
Density functional theory data (PBE-GGA) for a geometry-optimized MnAs2Br structure.

Output
The value obtained for the uncorrected formation energy is 478 meV/atom. As for the symmetry: F-43m. The value obtained for the energy above the most stable polymorph in this dataset is 663 meV per atom. The crystal system is cubic.

abc: 4.8380 4.8380 4.8380
angles: 120.03 120.03 89.95
Last column: nearest neighbours and their distance in Å.
Element x y z (fractional)
Mn (0.7500, 0.2500, 0.5000)  4 Br 2.96, 4 As 2.96
Br (0.5000, 0.5000, 0.0000)  4 Mn 2.96, 4 As 2.96
As (0.2500, 0.7500, 0.5000)  4 As 2.96, 4 Br 2.96
As (0.0000, 0.0000, 0.0000)  4 As 2.96, 4 Mn 2.96

Record 3
Density functional theory data (PBE-GGA) for a geometry-optimized MnAsBr structure.

Output
The value obtained for the uncorrected formation energy is 50 meV/atom. As for the symmetry: I4mm. The value obtained for the energy above the most stable polymorph in this dataset is 302 meV per atom. The crystal system is tetragonal.

abc: 6.9799 6.9799 6.9799
angles: 153.49 153.49 37.84
Last column: nearest neighbours and their distance in Å.
Element x y z (fractional)
As (0.0493, 0.0493, 0.0000)  4 Mn 2.69
Br (0.2915, 0.2915, 0.0000)  4 Mn 2.86, 1 As 3.20, 4 Br 3.20
Mn (0.6592, 0.6592, 0.0000)  4 As 2.69, 4 Br 2.86